{"formula": "Sm2Ho5In5", "functional": "GGA-PBE", "state": "relaxed", "mass_density_g_cm3": 8.241, "total_magnetization_mub_per_atom": 0.000, "n_ef_per_ev_fu": 12.8, "energy_ev_per_atom": -4.14, "formation_energy_mev_per_atom": -303, "lattice": [[6.003, -2.540, 0.000], [6.003, 2.540, 0.000], [-3.922, 0.000, 11.231]], "species": ["Sm", "Sm", "Ho", "Ho", "Ho", "Ho", "Ho", "In", "In", "In", "In", "In"], "fractional_positions": [[0.074, 0.074, 0.258], [0.926, 0.926, 0.742], [0.348, 0.348, 0.497], [0.369, 0.369, 0.222], [0.500, 0.500, 0.000], [0.631, 0.631, 0.778], [0.652, 0.652, 0.503], [0.000, 0.000, 0.500], [0.168, 0.168, 0.967], [0.255, 0.255, 0.718], [0.745, 0.745, 0.282], [0.832, 0.832, 0.033]]}